20
Lattice="-2.4391 1.0635 -1.0614 2.5792 -2.1960 -8.1271 -3.8306 -7.8752 0.9123" Properties=species:S:1:pos:R:3 comment="Be2VCo5W2 PBE optimized geometry" magnetic_moment_mub_per_fu=3.807 e_form_mev_per_atom=-111 pbc="T T T"
Be -2.0681 -5.1674 -0.4249
Be 0.8167 -4.9038 -6.7899
Be -1.7583 -8.2797 -4.2551
Be 0.5068 -1.7915 -2.9597
V 0.0000 0.0000 0.0000
V -0.6257 -5.0356 -3.6074
Co -0.9256 -0.4084 -2.1482
Co -2.7650 -8.5993 -6.1281
Co -4.1014 -5.8574 -0.3098
Co -1.0768 -4.4683 -5.8686
Co 0.4108 -3.1503 -7.9665
Co -2.6138 -4.5394 -2.4076
Co -2.4745 -6.2620 -4.4537
Co -1.2161 -2.7458 -3.8226
Co 0.0700 -0.5663 -4.5943
Co -3.1349 -3.4058 -0.0746
W 1.0683 -2.8790 -5.3394
W -2.3198 -7.1922 -1.8754
W -0.7818 -2.9333 -1.1424
W -0.4697 -7.1379 -6.0724